## one
PuHf2Mg: relaxed, PBE.

Output
**Space-group type**: No. 123

Lattice parameters (Å, degrees): 3.226 3.226 8.762 90.00 90.00 90.00
Each line ends with the local moment (μB).
Element x y z (fractional)
Mg1 0.500 0.500 0.500  0.00
Hf1 0.000 0.000 0.749  -0.04
Hf2 0.000 0.000 0.251  -0.04
Pu1 0.500 0.500 0.000  5.05

## two
PuHf2Mg: relaxed, PBE.

Output
**Space-group type**: No. 166

Lattice parameters (Å, degrees): 3.148 3.148 11.396 82.06 82.06 60.00
Each line ends with the local moment (μB).
Element x y z (fractional)
Hf1 0.089 0.089 0.733  -0.08
Hf2 0.911 0.911 0.267  -0.08
Pu1 0.500 0.500 0.500  5.06
Mg1 0.000 0.000 0.000  -0.01

## three
PuHf2Mg: relaxed, PBE.

Output
**Space-group type**: No. 123

Lattice parameters (Å, degrees): 4.368 4.552 4.552 90.00 90.00 90.00
Each line ends with the local moment (μB).
Element x y z (fractional)
Pu1 0.500 0.500 0.500  5.15
Mg1 0.500 0.000 0.000  0.00
Hf1 0.000 0.000 0.500  0.06
Hf2 0.000 0.500 0.000  0.06

Best to worst by energy: one, three, two.

## one
RbHf3Mg: relaxed, PBE.

Output
**Space-group type**: No. 221

Lattice parameters (Å, degrees): 5.309 5.309 5.309 90.00 90.00 90.00
Element x y z (fractional)
Rb1 0.500 0.500 0.500
Hf1 0.000 0.500 0.000
Hf2 0.500 0.000 0.000
Mg1 0.000 0.000 0.000
Hf3 0.000 0.000 0.500

## two
RbHf3Mg: relaxed, PBE.

Output
**Space-group type**: No. 221

Lattice parameters (Å, degrees): 5.073 5.073 5.073 90.00 90.00 90.00
Element x y z (fractional)
Mg1 0.500 0.500 0.500
Hf1 0.000 0.500 0.000
Rb1 0.000 0.000 0.000
Hf2 0.000 0.000 0.500
Hf3 0.500 0.000 0.000

Best to worst by energy: one, two.

## one
RbHfMg2: relaxed, PBE.

Output
**Space-group type**: No. 225

Lattice parameters (Å, degrees): 5.510 5.510 5.510 60.00 60.00 60.00
Element x y z (fractional)
Hf1 0.500 0.500 0.500
Rb1 0.000 0.000 0.000
Mg1 0.250 0.250 0.250
Mg2 0.750 0.750 0.750

## two
RbHfMg2: relaxed, PBE.

Output
**Space-group type**: No. 122

Lattice parameters (Å, degrees): 8.789 8.789 7.145 52.05 52.05 90.00
Each line ends with the local moment (μB).
Element x y z (fractional)
Mg1 0.664 0.125 0.250  0.01
Hf1 0.750 0.250 0.500  0.49
Rb1 0.250 0.750 0.500  0.01
Mg2 0.086 0.625 0.250  0.01
Mg3 0.375 0.336 0.750  0.01
Rb2 0.500 0.500 0.000  0.01
Hf2 0.000 0.000 0.000  0.48
Mg4 0.875 0.914 0.750  0.01

Best to worst by energy: one, two.